VASP calculation (meta-GGA SCAN) on a crystal of Ta5Mo2 relaxed with PBEsol.

Cell lengths 6.9980, 6.9980, 6.9980 Å; angles 38.22, 38.22, 38.22 degrees
Sites, in units of the cell vectors:
Ta: 0.0000 0.0000 0.0000
Ta: 0.2844 0.2844 0.2844
Ta: 0.4293 0.4293 0.4293
Ta: 0.5707 0.5707 0.5707
Ta: 0.7156 0.7156 0.7156
Mo: 0.1439 0.1439 0.1439
Mo: 0.8561 0.8561 0.8561

Computed properties:
ΔE to the lowest computed polymorph = 39 meV per atom
ρ = 15.46 g/cm3
DOS at the Fermi energy = 7.7 states/eV/f.u.
space group = No. 166
formation energy from the elements = -0.06 eV/atom